(1)
# FeWAu2

A geometry-optimized FeWAu2 structure (GGA-PBEsol, Alexandria via LeMat-Bulk).

Formation enthalpy at 0 K (meV/atom): 396

a b c (Å): 9.2968 2.7511 4.7850
angles (deg): 90.00 99.41 90.00
Space group C2/m (No. 12)
Symmetry-distinct sites (fractional):
Fe (0.0000, 0.0000, 0.0000) [2 per cell]
W (0.0000, 0.5000, 0.5000) [2 per cell]
Au (0.2487, 0.5000, 0.2478) [4 per cell]


(2)
# Ti2NbW

A geometry-optimized Ti2NbW structure (GGA-PBEsol, Alexandria via LeMat-Bulk).

Formation enthalpy at 0 K (meV/atom): 83

a b c (Å): 6.3619 6.3619 6.3619
angles (deg): 90.00 90.00 90.00
Space group Fm-3m (No. 225)
Symmetry-distinct sites (fractional):
Ti (0.2500, 0.2500, 0.2500) [8 per cell]
Nb (0.0000, 0.0000, 0.0000) [4 per cell]
W (0.0000, 0.0000, 0.5000) [4 per cell]


(3)
# FeBi2OsRu

A geometry-optimized FeBi2OsRu structure (GGA-PBEsol, Alexandria via LeMat-Bulk).

Formation enthalpy at 0 K (meV/atom): 1529

a b c (Å): 4.8312 4.8312 4.3682
angles (deg): 90.00 90.00 90.00
Space group P4/mmm (No. 123)
Symmetry-distinct sites (fractional):
Fe (0.0000, 0.0000, 0.0000) [1 per cell]
Bi (0.0000, 0.5000, 0.0000) [2 per cell]
Os (0.0000, 0.0000, 0.5000) [1 per cell]
Ru (0.5000, 0.5000, 0.5000) [1 per cell]


(4)
# BaLiIr2F

A geometry-optimized BaLiIr2F structure (GGA-PBEsol, Alexandria via LeMat-Bulk).

Energy relative to the elements, uncorrected (meV/atom): 274.1

a b c (Å): 4.5594 4.5594 4.3455
angles (deg): 90.00 90.00 90.00
Space group P4/mmm (No. 123)
Symmetry-distinct sites (fractional):
Ba (0.0000, 0.0000, 0.0000) [1 per cell]
Li (0.5000, 0.5000, 0.0000) [1 per cell]
Ir (0.0000, 0.5000, 0.5000) [2 per cell]
F (0.5000, 0.5000, 0.5000) [1 per cell]


(5)
# CaMgCd2

A geometry-optimized CaMgCd2 structure (GGA-PBEsol, Alexandria via LeMat-Bulk).

Formation enthalpy at 0 K (meV/atom): -180

a b c (Å): 3.9236 5.0637 9.8072
angles (deg): 90.00 90.00 90.00
Space group Imm2 (No. 44)
Symmetry-distinct sites (fractional):
Ca (0.0000, 0.0000, 0.0000) [2 per cell]
Mg (0.0000, 0.5000, 0.2256) [2 per cell]
Cd (0.0000, 0.0000, 0.4863) [2 per cell]
Cd (0.0000, 0.5000, 0.7612) [2 per cell]


(6)
# NbCr3Cd

A geometry-optimized NbCr3Cd structure (GGA-PBEsol, Alexandria via LeMat-Bulk).

Formation enthalpy at 0 K (meV/atom): 1604

a b c (Å): 4.6571 4.6571 4.6571
angles (deg): 90.00 90.00 90.00
Space group Pm-3m (No. 221)
Symmetry-distinct sites (fractional):
Nb (0.0000, 0.0000, 0.0000) [1 per cell]
Cr (0.0000, 0.0000, 0.5000) [3 per cell]
Cd (0.5000, 0.5000, 0.5000) [1 per cell]


These records have calculated density values of 17.429, 9.609, 12.461, 10.068, 4.929, 5.940 Mg/m³, in the order they appear.